4
Lattice="-2.0934 2.0934 3.9296 2.0934 -2.0934 3.9296 2.0934 2.0934 -3.9296" Properties=species:S:1:pos:R:3 comment="TaCd2Re GGA-PBEsol relaxed" crystal_system=tetragonal e_above_lowest_polymorph_mev_per_atom=100 delta_e_f_mev_per_atom=475.6 pbc="T T T"
Ta 0.0000 0.0000 0.0000
Cd 0.0000 0.0000 3.9296
Cd 0.0000 2.0934 1.9648
Re 2.0934 0.0000 1.9648